[1]
CePr2Zn6 | Alexandria via LeMat-Bulk | PBE | relaxed; crystal system = hexagonal; E = -26.0 eV/cell; total magnetization = 1.40 μB per formula unit; formation energy = -0.316 eV/atom; space group = P6/mmm (191)
1.0
-0.304 3.262 1.381
-0.760 3.037 -7.340
-6.474 -2.317 4.049
Zn Pr Ce
6 2 1
direct
0.500 0.000 0.668 Zn
0.500 0.332 0.000 Zn
0.500 0.668 0.000 Zn
0.500 0.668 0.668 Zn
0.500 0.332 0.332 Zn
0.500 0.000 0.332 Zn
0.000 0.333 0.667 Pr
0.000 0.667 0.333 Pr
0.000 0.000 0.000 Ce

[2]
Ce4HgSb5 | Alexandria via LeMat-Bulk | PBE | relaxed; crystal system = orthorhombic; E = -52.2 eV/cell; raw formation energy = -0.76 eV/atom; total magnetization = 2.96 μB per formula unit; space group = Immm (71)
1.0
-1.317 0.502 4.138
-4.285 -7.214 1.820
5.971 -4.003 4.694
Ce Sb Hg
4 5 1
direct
0.504 0.746 0.746 Ce
0.996 0.254 0.254 Ce
0.250 0.292 0.708 Ce
0.250 0.708 0.292 Ce
0.586 0.344 0.985 Sb
0.914 0.015 0.656 Sb
0.914 0.656 0.015 Sb
0.750 0.500 0.500 Sb
0.586 0.985 0.344 Sb
0.250 0.000 0.000 Hg

[3]
Hf2InSn | Alexandria via LeMat-Bulk | PBE | relaxed; E above lowest polymorph = 1.57 kcal/mol of atoms; crystal system = tetragonal; E = -27.2 eV/cell; total magnetization = 0.00 μB per formula unit; formation energy = -0.135 eV/atom; space group = P4mm (99)
1.0
-1.955 -3.260 0.793
1.607 -1.714 -3.085
4.596 -1.915 3.457
In Hf Sn
1 2 1
direct
0.061 0.971 0.591 In
0.561 0.471 0.338 Hf
0.061 0.971 0.105 Hf
0.561 0.471 0.856 Sn

[4]
YOsSe3 | Alexandria via LeMat-Bulk | PBE | relaxed; E above lowest polymorph = 0.00 kcal/mol of atoms; crystal system = cubic; E = -28.7 eV/cell; raw formation energy = -0.11 eV/atom; total magnetization = 1.40 μB per formula unit; space group = Pm-3m (221)
1.0
-1.659 4.463 1.246
-4.610 -1.723 0.034
0.467 -1.155 4.762
Se Os Y
3 1 1
direct
0.000 0.000 0.500 Se
0.500 0.000 0.000 Se
0.000 0.500 0.000 Se
0.000 0.000 0.000 Os
0.500 0.500 0.500 Y

[5]
LaSeN2 | Alexandria via LeMat-Bulk | PBE | relaxed; E above lowest polymorph = 11.08 kcal/mol of atoms; crystal system = cubic; E = -23.3 eV/cell; raw formation energy = 0.43 eV/atom; total magnetization = 0.00 μB per formula unit; space group = Fm-3m (225)
1.0
0.000 3.094 3.094
3.094 0.000 3.094
3.094 3.094 0.000
N La Se
2 1 1
direct
0.250 0.250 0.250 N
0.750 0.750 0.750 N
0.500 0.500 0.500 La
0.000 0.000 0.000 Se

[6]
Pa2SbMo | Alexandria via LeMat-Bulk | PBE | relaxed; E above lowest polymorph = 6.22 kcal/mol of atoms; crystal system = trigonal; E = -33.4 eV/cell; raw formation energy = 0.13 eV/atom; total magnetization = 0.00 μB per formula unit; space group = R-3m (166)
1.0
4.712 0.000 0.000
2.356 4.080 0.000
2.356 1.360 5.070
Sb Pa Mo
1 2 1
direct
0.000 0.000 0.000 Sb
0.237 0.237 0.290 Pa
0.763 0.763 0.710 Pa
0.500 0.500 0.500 Mo

[7]
TaCrW2 | Alexandria via LeMat-Bulk | PBE | relaxed; E above lowest polymorph = 1.35 kcal/mol of atoms; crystal system = orthorhombic; E = -47.3 eV/cell; total magnetization = 0.00 μB per formula unit; formation energy = 0.027 eV/atom; space group = Cmm2 (35)
1.0
2.760 -0.009 0.000
-0.946 2.593 0.000
0.000 0.000 8.735
W Ta Cr
2 1 1
direct
0.500 0.500 0.263 W
0.000 0.000 0.005 W
0.500 0.500 0.737 Ta
0.000 0.000 0.495 Cr

[8]
NdMgHg2 | Alexandria via LeMat-Bulk | PBE | relaxed; E above lowest polymorph = 0.00 kcal/mol of atoms; crystal system = cubic; E = -8.8 eV/cell; total magnetization = 0.00 μB per formula unit; formation energy = -0.468 eV/atom; space group = Fm-3m (225)
1.0
5.178 0.000 0.000
2.589 4.484 0.000
2.589 1.495 4.228
Mg Nd Hg
1 1 2
direct
0.500 0.500 0.500 Mg
0.000 0.000 0.000 Nd
0.250 0.250 0.250 Hg
0.750 0.750 0.750 Hg

Q: Which value of E does entry 5 give?
A: -23.3 eV/cell